No. 1
Crystalline SbPOs at its relaxed geometry, computed with GGA-PBE.

Results
Relative energy among the computed polymorphs in eV per atom: 0.409
Space-group type: F-43m, No. 216
Energy relative to the elements, uncorrected in eV/f.u.: 0.61
Fermi-level density of states in states/eV per atom: 0.621

```
SbPOs
1.0
0.0000 3.0546 3.0546
3.0546 0.0000 3.0546
3.0546 3.0546 0.0000
Sb P Os
1 1 1
Direct
0.0000 0.0000 0.0000
0.5000 0.5000 0.5000
0.2500 0.2500 0.2500
```

---

No. 2
Crystalline Rb2TbPa2Se6 at its relaxed geometry, computed with GGA-PBE.

Results
Space-group type: C2/m, No. 12
Energy relative to the elements, uncorrected in eV/f.u.: -16.41
Fermi-level density of states in states/eV per atom: 1.120

```
Rb2TbPa2Se6
1.0
3.6220 -6.2473 0.0000
3.6220 6.2473 0.0000
-2.3581 0.0000 8.2780
Rb Tb Pa Se
2 1 2 6
Direct
0.1663 0.8337 0.0000
0.8337 0.1663 0.0000
0.0000 0.0000 0.5000
0.3355 0.6645 0.5000
0.6645 0.3355 0.5000
0.0630 0.3996 0.6938
0.2690 0.2690 0.3030
0.3996 0.0630 0.6938
0.6004 0.9370 0.3062
0.7310 0.7310 0.6970
0.9370 0.6004 0.3062
```

---

No. 3
Crystalline BaBe2Re at its relaxed geometry, computed with GGA-PBE.

Results
Relative energy among the computed polymorphs in eV per atom: 0.013
Formation energy from the elements in meV/atom: 432
Space-group type: C2/m, No. 12
Fermi-level density of states in states/eV per atom: 0.689

```
BaBe2Re
1.0
3.9185 -1.7819 0.0000
3.9185 1.7819 0.0000
-2.0050 0.0000 5.6832
Ba Be Re
1 2 1
Direct
0.0000 0.0000 0.0000
0.2031 0.2031 0.5532
0.7969 0.7969 0.4468
0.5000 0.5000 0.5000
```

---

No. 4
Crystalline Li3Cd4Bi at its relaxed geometry, computed with GGA-PBE.

Results
Relative energy among the computed polymorphs in eV per atom: 0.000
Formation energy from the elements in meV/atom: -220
Space-group type: C2/m, No. 12
Fermi-level density of states in states/eV per atom: 0.303

```
Li3Cd4Bi
1.0
8.9084 -2.2079 0.0000
8.9084 2.2079 0.0000
-1.0801 0.0000 4.2951
Li Cd Bi
3 4 1
Direct
0.0000 0.0000 0.0000
0.2494 0.2494 0.2496
0.7506 0.7506 0.7504
0.1394 0.1394 0.6403
0.3614 0.3614 0.8599
0.6386 0.6386 0.1401
0.8606 0.8606 0.3597
0.5000 0.5000 0.5000
```

---

No. 5
Crystalline Ca2Cu2Rh at its relaxed geometry, computed with GGA-PBE.

Results
Relative energy among the computed polymorphs in eV per atom: 0.284
Formation energy from the elements in meV/atom: 17
Space-group type: I4/mmm, No. 139
Fermi-level density of states in states/eV per atom: 0.428

```
Ca2Cu2Rh
1.0
-2.7486 2.7486 3.6214
2.7486 -2.7486 3.6214
2.7486 2.7486 -3.6214
Ca Cu Rh
2 2 1
Direct
0.2500 0.7500 0.5000
0.7500 0.2500 0.5000
0.1578 0.1578 0.0000
0.8422 0.8422 0.0000
0.5000 0.5000 0.0000
```

---

No. 6
Crystalline Li2TaPb at its relaxed geometry, computed with GGA-PBE.

Results
Formation energy from the elements in meV/atom: 670
Space-group type: I-42d, No. 122
Fermi-level density of states in states/eV per atom: 0.483

```
Li2TaPb
1.0
-3.7208 3.7208 2.8189
3.7208 -3.7208 2.8189
3.7208 3.7208 -2.8189
Li Ta Pb
4 2 2
Direct
0.1143 0.6250 0.9893
0.3750 0.3643 0.4893
0.6357 0.1250 0.0107
0.8750 0.8857 0.5107
0.2500 0.7500 0.5000
0.5000 0.5000 0.0000
0.0000 0.0000 0.0000
0.7500 0.2500 0.5000
```